1.
The following is a DFT calculation (PBE) of a relaxed structure of KTeBr2.

Cell: 11.0969 11.0969 11.0969 Å, 19.99 19.99 19.99°
Closest atoms and distances in Å follow each position.
Atoms (fractional coordinates):
Br 0.9093 0.9093 0.9093  1 K 2.96
Br 0.0907 0.0907 0.0907  1 K 2.96
Te 0.5000 0.5000 0.5000  6 Br 3.33
K 0.0000 0.0000 0.0000  2 Br 2.96

Computed properties:
M_tot, μB/f.u.: 0.3
E above lowest polymorph, kcal/mol of atoms: 14.98
Space-group type: R-3m (166)

***

2.
The following is a DFT calculation (PBE) of a relaxed structure of Li2InSn3.

Cell: 5.6136 8.9682 7.9279 Å, 124.44 110.73 90.00°
Closest atoms and distances in Å follow each position.
Atoms (fractional coordinates):
In 0.6223 0.2500 0.5000  2 Li 2.90, 2 Sn 3.09
In 0.3777 0.7500 0.5000  2 Li 2.90, 2 Sn 3.09
Sn 0.0000 0.3227 0.0000  5 Sn 3.10-3.33, 4 Li 3.24-3.26, 2 In 3.43
Sn 0.0000 0.5000 0.5000  4 Li 2.88, 2 In 3.09
Sn 0.0000 0.6773 0.0000  5 Sn 3.10-3.33, 4 Li 3.24-3.26, 2 In 3.43
Sn 0.5000 0.1773 0.0000  5 Sn 3.10-3.33, 4 Li 3.24-3.26, 2 In 3.43
Sn 0.5000 0.8227 0.0000  5 Sn 3.10-3.33, 4 Li 3.24-3.26, 2 In 3.43
Sn 0.0000 0.0000 0.5000  4 Li 2.88, 2 In 3.09
Li 0.3078 0.3772 0.7545  2 Sn 2.88, 1 In 2.90, 2 Li 3.00-3.01
Li 0.6922 0.6228 0.2455  2 Sn 2.88, 1 In 2.90, 2 Li 3.00-3.01
Li 0.0533 0.1228 0.2455  2 Sn 2.88, 1 In 2.90, 2 Li 3.00-3.01
Li 0.9467 0.8772 0.7545  2 Sn 2.88, 1 In 2.90, 2 Li 3.00-3.01

Computed properties:
Formation enthalpy at 0 K, eV per atom: -0.119
M_tot, μB/f.u.: 0.0
E above lowest polymorph, kcal/mol of atoms: 1.44
Space-group type: Imma (74)

***

3.
The following is a DFT calculation (PBE) of a relaxed structure of PaAsH.

Cell: 3.8563 3.9090 3.9090 Å, 120.00 90.00 90.00°
Closest atoms and distances in Å follow each position.
Atoms (fractional coordinates):
H 0.1661 0.0000 0.0000  3 Pa 2.26
As 0.6670 0.3333 0.6667  6 H 2.97, 6 Pa 2.97
Pa 0.1669 0.6667 0.3333  3 H 2.26

Computed properties:
M_tot, μB/f.u.: 0.5
E above lowest polymorph, kcal/mol of atoms: 0.00
Space-group type: P-6m2 (187)

***

4.
The following is a DFT calculation (PBE) of a relaxed structure of Ba2SnRh4Pb3.

Cell: 4.7656 4.7656 11.0434 Å, 90.00 90.00 90.00°
Closest atoms and distances in Å follow each position.
Atoms (fractional coordinates):
Rh 0.0000 0.5000 0.3767  3 Pb 2.74-2.78, 2 Sn 2.74
Rh 0.0000 0.0000 0.0000  4 Pb 2.75
Rh 0.5000 0.0000 0.6233  2 Sn 2.74, 3 Pb 2.74-2.78
Rh 0.5000 0.5000 0.0000  4 Pb 2.75
Sn 0.5000 0.5000 0.5000  4 Rh 2.74
Ba 0.0000 0.5000 0.7562  8 Rh 3.60-3.68, 6 Pb 3.62-3.70, 2 Sn 3.70
Ba 0.5000 0.0000 0.2438  8 Rh 3.60-3.68, 6 Pb 3.62-3.70, 2 Sn 3.70
Pb 0.0000 0.5000 0.1245  5 Rh 2.75-2.78
Pb 0.5000 0.0000 0.8755  5 Rh 2.75-2.78
Pb 0.0000 0.0000 0.5000  4 Rh 2.74

Computed properties:
Formation enthalpy at 0 K, eV per atom: -0.370
M_tot, μB/f.u.: 0.0
Space-group type: P-4m2 (115)

***

5.
The following is a DFT calculation (PBE) of a relaxed structure of BeNi2P.

Cell: 3.4818 3.4818 7.8778 Å, 77.23 77.23 90.00°
Closest atoms and distances in Å follow each position.
Atoms (fractional coordinates):
Ni 0.3750 0.3718 0.7500  2 P 2.24, 2 Be 2.24, 4 Ni 2.45-2.48
Ni 0.6282 0.1250 0.2500  2 P 2.24, 2 Be 2.24, 4 Ni 2.45-2.48
Ni 0.8750 0.8782 0.7500  2 P 2.24, 2 Be 2.24, 4 Ni 2.45-2.48
Ni 0.1218 0.6250 0.2500  2 P 2.24, 2 Be 2.24, 4 Ni 2.45-2.48
P 0.0000 0.0000 0.0000  4 Ni 2.24, 4 Be 2.46
P 0.7500 0.2500 0.5000  4 Ni 2.24, 4 Be 2.46
Be 0.2500 0.7500 0.5000  4 Ni 2.24, 4 P 2.46
Be 0.5000 0.5000 0.0000  4 Ni 2.24, 4 P 2.46

Computed properties:
Formation enthalpy at 0 K, eV per atom: -0.096
M_tot, μB/f.u.: 0.0
E above lowest polymorph, kcal/mol of atoms: 6.02
Space-group type: I-42d (122)

***

6.
The following is a DFT calculation (PBE) of a relaxed structure of ErMgZr2Ir4.

Cell: 4.6500 4.6500 8.0869 Å, 73.29 73.29 60.00°
Closest atoms and distances in Å follow each position.
Atoms (fractional coordinates):
Ir 0.8750 0.8750 0.3750  4 Zr 2.75-2.82, 3 Mg 2.85, 1 Er 2.86
Ir 0.3763 0.3763 0.8711  1 Mg 2.83, 3 Er 2.86, 4 Zr 2.88-3.00
Ir 0.6237 0.6237 0.1289  1 Mg 2.83, 3 Er 2.86, 4 Zr 2.88-3.00
Ir 0.1250 0.1250 0.6250  4 Zr 2.75-2.82, 3 Mg 2.85, 1 Er 2.86
Zr 0.2454 0.2454 0.2639  8 Ir 2.75-3.00
Zr 0.7546 0.7546 0.7361  8 Ir 2.75-3.00
Mg 0.5000 0.5000 0.5000  8 Ir 2.83-2.85
Er 0.0000 0.0000 0.0000  8 Ir 2.86

Computed properties:
Formation enthalpy at 0 K, eV per atom: -0.759
M_tot, μB/f.u.: 0.0
Space-group type: R-3m (166)